Entry from the Alexandria database: a relaxed structure of Cu2SCl (GGA-PBE).

Values from the calculation:
Formation energy without anion corrections: -0.239 eV per atom
Relative energy among the computed polymorphs: 0.34 eV/f.u.
Crystal system: trigonal
Total magnetization: 0.00 μB/f.u.

Cell lengths 3.7336, 3.7336, 18.9525 Å; angles 90.00, 90.00, 120.00 degrees
With the nearest neighbours (Å) after each atom.
Space group R-3m (No. 166, hexagonal axes)
Inequivalent atoms, fractional coordinates:
Cu: 0.0000 0.0000 0.1175 (multiplicity 6)  1 Cl 2.23, 3 S 2.35
S: 0.0000 0.0000 0.5000 (multiplicity 3)  6 Cu 2.35
Cl: 0.0000 0.0000 0.0000 (multiplicity 3)  2 Cu 2.23